Run 1
# TePtWI2

A relaxed structure of TePtWI2 (GGA-PBE, Alexandria via LeMat-Bulk).

Cell: 5.3589 5.3589 5.2513 Å, 90.00 90.00 90.00°
Fractional coordinates of all 5 atoms:
Te1 0.0000 0.0000 0.0000
Pt1 0.5000 0.5000 0.0000
W1 0.0000 0.0000 0.5000
I1 0.0000 0.5000 0.5000
I2 0.5000 0.0000 0.5000



Run 2
# TePtWI2

A relaxed structure of TePtWI2 (GGA-PBE, Alexandria via LeMat-Bulk).

Cell: 5.3832 5.3832 5.3890 Å, 90.00 90.00 90.00°
Fractional coordinates of all 5 atoms:
Te1 0.0000 0.0000 0.0000
Pt1 0.0000 0.0000 0.5000
W1 0.5000 0.5000 0.0000
I1 0.0000 0.5000 0.5000
I2 0.5000 0.0000 0.5000



Short version: run 1 is the most stable of them.



Run 1
# YTe2PtI

A relaxed structure of YTe2PtI (GGA-PBE, Alexandria via LeMat-Bulk).

Cell: 5.8808 5.8808 5.7422 Å, 90.00 90.00 90.00°
Fractional coordinates of all 5 atoms:
Y1 0.0000 0.0000 0.0000
Te1 0.0000 0.5000 0.0000
Te2 0.5000 0.0000 0.0000
Pt1 0.5000 0.5000 0.5000
I1 0.0000 0.0000 0.5000



Run 2
# YTe2PtI

A relaxed structure of YTe2PtI (GGA-PBE, Alexandria via LeMat-Bulk).

Cell: 5.3731 5.3731 5.3407 Å, 90.00 90.00 90.00°
Fractional coordinates of all 5 atoms:
Y1 0.0000 0.0000 0.0000
Te1 0.0000 0.5000 0.5000
Te2 0.5000 0.0000 0.5000
Pt1 0.5000 0.5000 0.5000
I1 0.5000 0.5000 0.0000



Short version: run 2 is the most stable of them.



Run 1
# ZnTe2PtI

A relaxed structure of ZnTe2PtI (GGA-PBE, Alexandria via LeMat-Bulk).

Cell: 5.3446 5.3446 5.5571 Å, 90.00 90.00 90.00°
Fractional coordinates of all 5 atoms:
Zn1 0.0000 0.0000 0.0000
Te1 0.0000 0.5000 0.5000
Te2 0.5000 0.0000 0.5000
Pt1 0.5000 0.5000 0.5000
I1 0.5000 0.5000 0.0000



Run 2
# ZnTe2PtI

A relaxed structure of ZnTe2PtI (GGA-PBE, Alexandria via LeMat-Bulk).

Cell: 5.2639 5.2639 5.2503 Å, 90.00 90.00 90.00°
Fractional coordinates of all 5 atoms:
Zn1 0.0000 0.0000 0.0000
Te1 0.0000 0.5000 0.0000
Te2 0.5000 0.0000 0.0000
Pt1 0.5000 0.5000 0.5000
I1 0.0000 0.0000 0.5000



Short version: run 1 is the most stable of them.



Run 1
# ZrTePtI2

A relaxed structure of ZrTePtI2 (GGA-PBE, Alexandria via LeMat-Bulk).

Cell: 5.3506 5.3506 5.4053 Å, 90.00 90.00 90.00°
Fractional coordinates of all 5 atoms:
Zr1 0.0000 0.0000 0.0000
Te1 0.5000 0.5000 0.0000
Pt1 0.5000 0.5000 0.5000
I1 0.0000 0.5000 0.5000
I2 0.5000 0.0000 0.5000



Run 2
# ZrTePtI2

A relaxed structure of ZrTePtI2 (GGA-PBE, Alexandria via LeMat-Bulk).

Cell: 5.5915 5.5915 5.6829 Å, 90.00 90.00 90.00°
Fractional coordinates of all 5 atoms:
Zr1 0.0000 0.0000 0.0000
Te1 0.0000 0.0000 0.5000
Pt1 0.5000 0.5000 0.5000
I1 0.0000 0.5000 0.0000
I2 0.5000 0.0000 0.0000



Short version: run 1 is the most stable of them.



Run 1
# TiPt3I

A relaxed structure of TiPt3I (GGA-PBE, Alexandria via LeMat-Bulk).

Cell: 4.8066 4.8066 4.8066 Å, 90.00 90.00 90.00°
Fractional coordinates of all 5 atoms:
Ti1 0.0000 0.0000 0.0000
Pt1 0.0000 0.0000 0.5000
Pt2 0.0000 0.5000 0.0000
Pt3 0.5000 0.0000 0.0000
I1 0.5000 0.5000 0.5000



Run 2
# TiPt3I

A relaxed structure of TiPt3I (GGA-PBE, Alexandria via LeMat-Bulk).

Cell: 4.9326 4.9326 4.9326 Å, 90.00 90.00 90.00°
Fractional coordinates of all 5 atoms:
Ti1 0.0000 0.0000 0.0000
Pt1 0.0000 0.5000 0.5000
Pt2 0.5000 0.0000 0.5000
Pt3 0.5000 0.5000 0.0000
I1 0.5000 0.5000 0.5000



Short version: run 1 is the most stable of them.



Run 1
# TiPt2I

A relaxed structure of TiPt2I (GGA-PBE, Alexandria via LeMat-Bulk).

Cell: 4.7316 4.7316 4.7316 Å, 60.00 60.00 60.00°
Fractional coordinates of all 4 atoms:
Ti1 0.0000 0.0000 0.0000
Pt1 0.2500 0.2500 0.2500
Pt2 0.7500 0.7500 0.7500
I1 0.5000 0.5000 0.5000



Run 2
# TiPt2I

A relaxed structure of TiPt2I (GGA-PBE, Alexandria via LeMat-Bulk).

Cell: 6.5037 6.5037 6.5037 Å, 118.59 118.59 92.46°
Fractional coordinates of all 8 atoms:
Ti1 0.0000 0.0000 0.0000
Ti2 0.7500 0.2500 0.5000
Pt1 0.0872 0.6250 0.9622
Pt2 0.3750 0.3372 0.4622
Pt3 0.6627 0.1250 0.0378
Pt4 0.8750 0.9128 0.5377
I1 0.2500 0.7500 0.5000
I2 0.5000 0.5000 0.0000



Short version: run 2 is the most stable of them.



Run 1
# Tl3PtI

A relaxed structure of Tl3PtI (GGA-PBE, Alexandria via LeMat-Bulk).

Cell: 5.4221 8.4635 7.0813 Å, 90.00 90.24 90.00°
Fractional coordinates of all 10 atoms:
Tl1 0.0000 0.2500 0.0032
Tl2 0.0000 0.7500 0.9968
Tl3 0.4984 0.0019 0.7257
Tl4 0.4984 0.4981 0.7257
Tl5 0.5016 0.5019 0.2743
Tl6 0.5016 0.9981 0.2743
Pt1 0.5000 0.2500 0.0025
Pt2 0.5000 0.7500 0.9975
I1 0.9998 0.2500 0.5041
I2 0.0002 0.7500 0.4959



Run 2
# Tl3PtI

A relaxed structure of Tl3PtI (GGA-PBE, Alexandria via LeMat-Bulk).

Cell: 4.4828 7.1303 10.3454 Å, 90.00 90.05 90.00°
Fractional coordinates of all 10 atoms:
Tl1 0.2494 0.2500 0.1219
Tl2 0.2502 0.0029 0.6264
Tl3 0.2502 0.4971 0.6264
Tl4 0.7498 0.5029 0.3736
Tl5 0.7498 0.9971 0.3736
Tl6 0.7506 0.7500 0.8781
Pt1 0.2499 0.2500 0.4039
Pt2 0.7501 0.7500 0.5961
I1 0.2512 0.7500 0.1263
I2 0.7488 0.2500 0.8737



Short version: run 1 is the most stable of them.



Run 1
# Tl3PtI

A relaxed structure of Tl3PtI (GGA-PBE, Alexandria via LeMat-Bulk).

Cell: 9.8882 9.8882 9.8882 Å, 141.32 141.32 55.85°
Fractional coordinates of all 10 atoms:
Tl1 0.1959 0.1959 0.0000
Tl2 0.3662 0.6203 0.7459
Tl3 0.3797 0.1256 0.7459
Tl4 0.3797 0.6338 0.2541
Tl5 0.8041 0.8041 0.0000
Tl6 0.8744 0.6203 0.2541
Pt1 0.2500 0.7500 0.5000
Pt2 0.5000 0.5000 0.0000
I1 0.6254 0.1254 0.5000
I2 0.8746 0.3746 0.5000



Run 2
# Tl3PtI

A relaxed structure of Tl3PtI (GGA-PBE, Alexandria via LeMat-Bulk).

Cell: 9.3934 9.3934 8.8242 Å, 113.58 113.58 77.90°
Fractional coordinates of all 20 atoms:
Tl1 0.0280 0.8449 0.5362
Tl2 0.0653 0.3999 0.2999
Tl3 0.1551 0.9720 0.9638
Tl4 0.1772 0.3897 0.9720
Tl5 0.3897 0.1772 0.4720
Tl6 0.3999 0.0653 0.7999
Tl7 0.6001 0.9347 0.2001
Tl8 0.6103 0.8228 0.5280
Tl9 0.8228 0.6103 0.0280
Tl10 0.8449 0.0280 0.0362
Tl11 0.9347 0.6001 0.7001
Tl12 0.9720 0.1551 0.4638
Pt1 0.1871 0.3785 0.6491
Pt2 0.3785 0.1871 0.1491
Pt3 0.6215 0.8129 0.8509
Pt4 0.8129 0.6215 0.3509
I1 0.2113 0.7887 0.2500
I2 0.3746 0.6254 0.7500
I3 0.6254 0.3746 0.2500
I4 0.7887 0.2113 0.7500



Short version: run 2 is the most stable of them.